Entry 1:
Density functional theory data (PBE) for Cs2CrBiH after structural relaxation.

Cell lengths 6.1917, 6.1917, 5.0181 Å; angles 90.00, 90.00, 90.00 degrees
Space group P4/mmm (No. 123)
Inequivalent atoms, fractional coordinates:
Cs1 0.0000 0.5000 0.0000 [2 per cell]
Cr1 0.0000 0.0000 0.0000 [1 per cell]
Bi1 0.0000 0.0000 0.5000 [1 per cell]
H1 0.5000 0.5000 0.5000 [1 per cell]



Entry 2:
Density functional theory data (PBE) for CsCrBiI6 after structural relaxation.

Cell lengths 7.8286, 7.8286, 8.6115 Å; angles 90.00, 90.00, 120.00 degrees
Space group P312 (No. 149)
Inequivalent atoms, fractional coordinates:
Cs1 0.0000 0.0000 0.0000 [1 per cell]
Cr1 0.3333 0.6667 0.5000 [1 per cell]
Bi1 0.6667 0.3333 0.5000 [1 per cell]
I1 0.0229 0.3861 0.6983 [6 per cell]

Values from the calculation:
ΔE_f (raw) = -0.628 eV per atom



Entry 3:
Density functional theory data (PBE) for Cs2CrBiI6 after structural relaxation.

Cell lengths 8.5681, 8.5681, 12.1586 Å; angles 90.00, 90.00, 90.00 degrees
Space group I4/mmm (No. 139)
Inequivalent atoms, fractional coordinates:
Cs1 0.0000 0.5000 0.2500 [4 per cell]
Cr1 0.0000 0.0000 0.0000 [2 per cell]
Bi1 0.0000 0.0000 0.5000 [2 per cell]
I1 0.0000 0.0000 0.2404 [4 per cell]
I2 0.2396 0.2396 0.0000 [8 per cell]

Values from the calculation:
ΔE_f (raw) = -0.791 eV per atom



Entry 4:
Density functional theory data (PBE) for Cs2LaCrBi after structural relaxation.

Cell lengths 7.6544, 7.6544, 6.0758 Å; angles 90.00, 90.00, 90.00 degrees
Space group P4/mmm (No. 123)
Inequivalent atoms, fractional coordinates:
Cs1 0.0000 0.5000 0.0000 [2 per cell]
La1 0.0000 0.0000 0.0000 [1 per cell]
Cr1 0.5000 0.5000 0.5000 [1 per cell]
Bi1 0.0000 0.0000 0.5000 [1 per cell]



| no. | size of the total moment (μB/atom) | calculated total energy (eV for the cell shown) |
| --- | --- | --- |
| 1 | 0.80 | -15.66 |
| 2 | 0.44 | -29.31 |
| 3 | 0.50 | -64.84 |
| 4 | 1.28 | -15.71 |